Here is an optimized crystal structure of UTl2FeO6 from Alexandria via LeMat-Bulk. Energies are from GGA+U.

Structure (CIF):
```
data_UTl2FeO6
_chemical_formula_sum 'U4 Tl8 Fe4 O24'
_symmetry_space_group_name_H-M 'F m -3 m'
_symmetry_Int_Tables_number 225
_symmetry_space_group_name_Hall '-F 4 2 3'
_cell_length_a 8.298
_cell_length_b 8.298
_cell_length_c 8.298
_cell_angle_alpha 90.00
_cell_angle_beta 90.00
_cell_angle_gamma 90.00
loop_
_atom_site_label
_atom_site_type_symbol
_atom_site_fract_x
_atom_site_fract_y
_atom_site_fract_z
U1 U 0.000 0.000 0.000
Tl1 Tl 0.250 0.250 0.250
Fe1 Fe 0.000 0.000 0.500
O1 O 0.000 0.000 0.253
```

Values from the calculation:
Spin magnetization: 4.91 μB per formula unit
VASP energy: -276.8 eV for the cell shown